[1]
# YTePb2 (GGA-PBE, optimized geometry)
# Uncorrected formation energy (meV/atom): -343
data_YTePb2
_symmetry_space_group_name_H-M 'P 1'
_symmetry_Int_Tables_number 1
_symmetry_space_group_name_Hall 'P 1'
_cell_length_a 5.3998
_cell_length_b 5.3998
_cell_length_c 4.0592
_cell_angle_alpha 90.00
_cell_angle_beta 90.00
_cell_angle_gamma 90.23
loop_
_atom_site_label
_atom_site_type_symbol
_atom_site_fract_x
_atom_site_fract_y
_atom_site_fract_z
Y1 Y 0.0000 0.0000 0.0000
Te1 Te 0.5000 0.5000 0.0000
Pb1 Pb 0.0000 0.5000 0.5000
Pb2 Pb 0.5000 0.0000 0.5000

[2]
# LaPr7Ho12 (GGA-PBE, optimized geometry)
# Distance to the lowest polymorph of the same formula (eV per atom): 0.392
data_LaPr7Ho12
_symmetry_space_group_name_H-M 'P 1'
_symmetry_Int_Tables_number 1
_symmetry_space_group_name_Hall 'P 1'
_cell_length_a 9.8382
_cell_length_b 9.8382
_cell_length_c 9.8382
_cell_angle_alpha 109.47
_cell_angle_beta 109.47
_cell_angle_gamma 109.47
loop_
_atom_site_label
_atom_site_type_symbol
_atom_site_fract_x
_atom_site_fract_y
_atom_site_fract_z
La1 La 0.0000 0.0000 0.0000
Pr1 Pr 0.0000 0.0000 0.5000
Pr2 Pr 0.0000 0.5000 0.0000
Pr3 Pr 0.0000 0.5000 0.5000
Pr4 Pr 0.5000 0.0000 0.0000
Pr5 Pr 0.5000 0.0000 0.5000
Pr6 Pr 0.5000 0.5000 0.0000
Pr7 Pr 0.5000 0.5000 0.5000
Ho1 Ho 0.0000 0.2514 0.7486
Ho2 Ho 0.0000 0.7486 0.2514
Ho3 Ho 0.2514 0.0000 0.7486
Ho4 Ho 0.2514 0.2514 0.5028
Ho5 Ho 0.2514 0.5028 0.2514
Ho6 Ho 0.2514 0.7486 0.0000
Ho7 Ho 0.4972 0.7486 0.7486
Ho8 Ho 0.5028 0.2514 0.2514
Ho9 Ho 0.7486 0.0000 0.2514
Ho10 Ho 0.7486 0.2514 0.0000
Ho11 Ho 0.7486 0.4972 0.7486
Ho12 Ho 0.7486 0.7486 0.4972

[3]
# Ba2Tl3 (GGA-PBE, optimized geometry)
# Distance to the lowest polymorph of the same formula (eV per atom): 0.038
data_Ba2Tl3
_symmetry_space_group_name_H-M 'P 1'
_symmetry_Int_Tables_number 1
_symmetry_space_group_name_Hall 'P 1'
_cell_length_a 7.0711
_cell_length_b 7.0711
_cell_length_c 9.3525
_cell_angle_alpha 90.00
_cell_angle_beta 90.00
_cell_angle_gamma 124.43
loop_
_atom_site_label
_atom_site_type_symbol
_atom_site_fract_x
_atom_site_fract_y
_atom_site_fract_z
Ba1 Ba 0.1486 0.8514 0.8970
Ba2 Ba 0.3514 0.6486 0.3970
Ba3 Ba 0.6486 0.3514 0.6030
Ba4 Ba 0.8514 0.1486 0.1030
Tl1 Tl 0.0000 0.0000 0.5000
Tl2 Tl 0.1351 0.3649 0.7500
Tl3 Tl 0.3649 0.1351 0.2500
Tl4 Tl 0.5000 0.5000 0.0000
Tl5 Tl 0.6351 0.8649 0.7500
Tl6 Tl 0.8649 0.6351 0.2500

[4]
# KSb3Pt3 (GGA-PBE, optimized geometry)
# Uncorrected formation energy (meV/atom): -343
# Distance to the lowest polymorph of the same formula (eV per atom): 0.044
data_KSb3Pt3
_symmetry_space_group_name_H-M 'P 1'
_symmetry_Int_Tables_number 1
_symmetry_space_group_name_Hall 'P 1'
_cell_length_a 7.4017
_cell_length_b 7.4017
_cell_length_c 7.4017
_cell_angle_alpha 90.00
_cell_angle_beta 90.00
_cell_angle_gamma 90.00
loop_
_atom_site_label
_atom_site_type_symbol
_atom_site_fract_x
_atom_site_fract_y
_atom_site_fract_z
K1 K 0.0000 0.0000 0.0000
K2 K 0.5000 0.5000 0.5000
Sb1 Sb 0.0000 0.2500 0.5000
Sb2 Sb 0.0000 0.7500 0.5000
Sb3 Sb 0.2500 0.5000 0.0000
Sb4 Sb 0.5000 0.0000 0.2500
Sb5 Sb 0.5000 0.0000 0.7500
Sb6 Sb 0.7500 0.5000 0.0000
Pt1 Pt 0.0000 0.5000 0.2500
Pt2 Pt 0.0000 0.5000 0.7500
Pt3 Pt 0.2500 0.0000 0.5000
Pt4 Pt 0.5000 0.2500 0.0000
Pt5 Pt 0.5000 0.7500 0.0000
Pt6 Pt 0.7500 0.0000 0.5000

[5]
# BaSb2Os (GGA-PBE, optimized geometry)
# Uncorrected formation energy (meV/atom): 386
data_BaSb2Os
_symmetry_space_group_name_H-M 'P 1'
_symmetry_Int_Tables_number 1
_symmetry_space_group_name_Hall 'P 1'
_cell_length_a 5.1977
_cell_length_b 5.1977
_cell_length_c 5.1977
_cell_angle_alpha 60.00
_cell_angle_beta 60.00
_cell_angle_gamma 60.00
loop_
_atom_site_label
_atom_site_type_symbol
_atom_site_fract_x
_atom_site_fract_y
_atom_site_fract_z
Ba1 Ba 0.0000 0.0000 0.0000
Sb1 Sb 0.2500 0.2500 0.2500
Sb2 Sb 0.7500 0.7500 0.7500
Os1 Os 0.5000 0.5000 0.5000

[6]
# La3ReO6 (GGA-PBE, optimized geometry)
# Uncorrected formation energy (meV/atom): -2754
data_La3ReO6
_symmetry_space_group_name_H-M 'P 1'
_symmetry_Int_Tables_number 1
_symmetry_space_group_name_Hall 'P 1'
_cell_length_a 7.6158
_cell_length_b 7.6158
_cell_length_c 5.9335
_cell_angle_alpha 90.00
_cell_angle_beta 90.00
_cell_angle_gamma 105.54
loop_
_atom_site_label
_atom_site_type_symbol
_atom_site_fract_x
_atom_site_fract_y
_atom_site_fract_z
La1 La 0.0990 0.9010 0.5000
La2 La 0.1703 0.4070 0.4810
La3 La 0.4070 0.1703 0.9810
La4 La 0.5930 0.8297 0.4810
La5 La 0.8297 0.5930 0.9810
La6 La 0.9010 0.0990 0.0000
Re1 Re 0.3181 0.6819 0.0122
Re2 Re 0.6819 0.3181 0.5122
O1 O 0.0948 0.4882 0.0477
O2 O 0.1520 0.1633 0.7485
O3 O 0.1633 0.1520 0.2485
O4 O 0.2811 0.7189 0.3468
O5 O 0.4091 0.5909 0.7530
O6 O 0.4882 0.0948 0.5477
O7 O 0.5118 0.9052 0.0477
O8 O 0.5909 0.4091 0.2530
O9 O 0.7189 0.2811 0.8468
O10 O 0.8367 0.8480 0.7485
O11 O 0.8480 0.8367 0.2485
O12 O 0.9052 0.5118 0.5477

[7]
# PmHo3Te (GGA-PBE, optimized geometry)
# Uncorrected formation energy (meV/atom): -315
data_PmHo3Te
_symmetry_space_group_name_H-M 'P 1'
_symmetry_Int_Tables_number 1
_symmetry_space_group_name_Hall 'P 1'
_cell_length_a 7.5531
_cell_length_b 7.7231
_cell_length_c 5.8274
_cell_angle_alpha 90.00
_cell_angle_beta 90.00
_cell_angle_gamma 90.00
loop_
_atom_site_label
_atom_site_type_symbol
_atom_site_fract_x
_atom_site_fract_y
_atom_site_fract_z
Pm1 Pm 0.0000 0.1394 0.0000
Pm2 Pm 0.5000 0.8606 0.5000
Ho1 Ho 0.0000 0.8714 0.4986
Ho2 Ho 0.2460 0.7529 0.0004
Ho3 Ho 0.2540 0.2471 0.5004
Ho4 Ho 0.5000 0.1286 0.9986
Ho5 Ho 0.7460 0.2471 0.5004
Ho6 Ho 0.7540 0.7529 0.0004
Te1 Te 0.0000 0.5055 0.2664
Te2 Te 0.5000 0.4945 0.7664

[8]
# CuMoPd (GGA-PBE, optimized geometry)
# Distance to the lowest polymorph of the same formula (eV per atom): 0.147
data_CuMoPd
_symmetry_space_group_name_H-M 'P 1'
_symmetry_Int_Tables_number 1
_symmetry_space_group_name_Hall 'P 1'
_cell_length_a 6.0671
_cell_length_b 5.0412
_cell_length_c 4.7834
_cell_angle_alpha 76.22
_cell_angle_beta 53.80
_cell_angle_gamma 49.97
loop_
_atom_site_label
_atom_site_type_symbol
_atom_site_fract_x
_atom_site_fract_y
_atom_site_fract_z
Cu1 Cu 0.2500 0.2500 0.2500
Cu2 Cu 0.7500 0.7500 0.7500
Mo1 Mo 0.1330 0.1330 0.8670
Mo2 Mo 0.8670 0.8670 0.1330
Pd1 Pd 0.3385 0.6615 0.3385
Pd2 Pd 0.6615 0.3385 0.6615

[9]
# SiMoPb2 (GGA-PBE, optimized geometry)
# Uncorrected formation energy (meV/atom): 822
data_SiMoPb2
_symmetry_space_group_name_H-M 'P 1'
_symmetry_Int_Tables_number 1
_symmetry_space_group_name_Hall 'P 1'
_cell_length_a 10.5159
_cell_length_b 10.5159
_cell_length_c 10.5159
_cell_angle_alpha 17.39
_cell_angle_beta 17.39
_cell_angle_gamma 17.39
loop_
_atom_site_label
_atom_site_type_symbol
_atom_site_fract_x
_atom_site_fract_y
_atom_site_fract_z
Si1 Si 0.0000 0.0000 0.0000
Mo1 Mo 0.5000 0.5000 0.5000
Pb1 Pb 0.2433 0.2433 0.2433
Pb2 Pb 0.7567 0.7567 0.7567

[10]
# KAs (GGA-PBE, optimized geometry)
# Distance to the lowest polymorph of the same formula (eV per atom): 0.112
data_KAs
_symmetry_space_group_name_H-M 'P 1'
_symmetry_Int_Tables_number 1
_symmetry_space_group_name_Hall 'P 1'
_cell_length_a 8.8680
_cell_length_b 8.8680
_cell_length_c 8.8680
_cell_angle_alpha 93.55
_cell_angle_beta 93.55
_cell_angle_gamma 151.17
loop_
_atom_site_label
_atom_site_type_symbol
_atom_site_fract_x
_atom_site_fract_y
_atom_site_fract_z
K1 K 0.9998 0.2473 0.2471
K2 K 0.0002 0.7527 0.7529
K3 K 0.2473 0.0002 0.2475
K4 K 0.7527 0.9998 0.7525
As1 As 0.2864 0.2858 0.5722
As2 As 0.2858 0.7136 0.9994
As3 As 0.7142 0.2864 0.0006
As4 As 0.7136 0.7142 0.4278

[11]
# NaTl2Se3 (GGA-PBE, optimized geometry)
# Uncorrected formation energy (meV/atom): -392
# Distance to the lowest polymorph of the same formula (eV per atom): 0.014
data_NaTl2Se3
_symmetry_space_group_name_H-M 'P 1'
_symmetry_Int_Tables_number 1
_symmetry_space_group_name_Hall 'P 1'
_cell_length_a 5.1998
_cell_length_b 9.0051
_cell_length_c 9.2349
_cell_angle_alpha 92.46
_cell_angle_beta 101.40
_cell_angle_gamma 92.87
loop_
_atom_site_label
_atom_site_type_symbol
_atom_site_fract_x
_atom_site_fract_y
_atom_site_fract_z
Na1 Na 0.0000 0.0000 0.0000
Na2 Na 0.4847 0.4876 0.1224
Tl1 Tl 0.1646 0.7026 0.3880
Tl2 Tl 0.3133 0.2119 0.7263
Tl3 Tl 0.7132 0.6381 0.7677
Tl4 Tl 0.7660 0.1439 0.3442
Se1 Se 0.0157 0.4628 0.5422
Se2 Se 0.4645 0.9386 0.5602
Se3 Se 0.5172 0.1700 0.0301
Se4 Se 0.5341 0.4366 0.4644
Se5 Se 0.9351 0.9077 0.6331
Se6 Se 0.9803 0.6781 0.0975